Entry 1:
Here is a relaxed Sr6H12Ru crystal from Alexandria via LeMat-Bulk. Energies are from PBE.

Values from the calculation:
Crystal system: trigonal
Symmetry: R-3, No. 148
Total energy in eV/cell: -67.1

Lattice parameters (Å, degrees): 6.727 6.727 6.727 98.06 98.06 98.06
Fractional positions:
Sr1 0.091 0.653 0.780
Sr2 0.220 0.909 0.347
Sr3 0.347 0.220 0.909
Sr4 0.653 0.780 0.091
Sr5 0.780 0.091 0.653
Sr6 0.909 0.347 0.220
H1 0.029 0.333 0.891
H2 0.109 0.971 0.667
H3 0.243 0.529 0.447
H4 0.333 0.891 0.029
H5 0.447 0.243 0.529
H6 0.471 0.553 0.757
H7 0.529 0.447 0.243
H8 0.553 0.757 0.471
H9 0.667 0.109 0.971
H10 0.757 0.471 0.553
H11 0.891 0.029 0.333
H12 0.971 0.667 0.109
Ru1 0.500 0.500 0.500



Entry 2:
Here is a relaxed MnSb2Se crystal from Alexandria via LeMat-Bulk. Energies are from PBE.

Values from the calculation:
Crystal system: orthorhombic
Symmetry: Cmmm, No. 65
Total energy in eV/cell: -21.1

Lattice parameters (Å, degrees): 6.004 6.004 3.730 90.00 90.00 133.39
Fractional positions:
Mn1 0.000 0.000 0.000
Sb1 0.173 0.827 0.500
Sb2 0.827 0.173 0.500
Se1 0.500 0.500 0.000



Entry 3:
Here is a relaxed SrPrCrN4 crystal from Alexandria via LeMat-Bulk. Energies are from PBE.

Values from the calculation:
Crystal system: monoclinic
Symmetry: P2_1/m, No. 11
Total energy in eV/cell: -108.9

Lattice parameters (Å, degrees): 5.899 5.618 7.169 90.00 106.86 90.00
Fractional positions:
Sr1 0.212 0.250 0.428
Sr2 0.788 0.750 0.572
Pr1 0.280 0.250 0.948
Pr2 0.720 0.750 0.052
Cr1 0.268 0.750 0.195
Cr2 0.732 0.250 0.805
N1 0.075 0.750 0.340
N2 0.097 0.750 0.953
N3 0.457 0.508 0.231
N4 0.457 0.992 0.231
N5 0.543 0.008 0.769
N6 0.543 0.492 0.769
N7 0.903 0.250 0.047
N8 0.925 0.250 0.660



Entry 4:
Here is a relaxed SbNClF2 crystal from Alexandria via LeMat-Bulk. Energies are from PBE.

Values from the calculation:
Crystal system: tetragonal
Relative energy among the computed polymorphs in meV per atom: 0
Symmetry: P4/mmm, No. 123
Total energy in eV/cell: -20.0

Lattice parameters (Å, degrees): 4.254 4.254 4.393 90.00 90.00 90.00
Fractional positions:
Sb1 0.000 0.000 0.000
N1 0.000 0.000 0.500
Cl1 0.500 0.500 0.500
F1 0.000 0.500 0.000
F2 0.500 0.000 0.000



Entry 5:
Here is a relaxed Co2Re crystal from Alexandria via LeMat-Bulk. Energies are from PBE.

Values from the calculation:
Crystal system: cubic
Relative energy among the computed polymorphs in meV per atom: 1136
Symmetry: Pa-3, No. 205
Total energy in eV/cell: -93.6

Lattice parameters (Å, degrees): 5.600 5.600 5.600 90.00 90.00 90.00
Fractional positions:
Co1 0.118 0.118 0.118
Co2 0.118 0.382 0.618
Co3 0.382 0.618 0.118
Co4 0.382 0.882 0.618
Co5 0.618 0.118 0.382
Co6 0.618 0.382 0.882
Co7 0.882 0.618 0.382
Co8 0.882 0.882 0.882
Re1 0.000 0.000 0.500
Re2 0.000 0.500 0.000
Re3 0.500 0.000 0.000
Re4 0.500 0.500 0.500



Entry 6:
Here is a relaxed SrFe2Mo crystal from Alexandria via LeMat-Bulk. Energies are from PBE.

Values from the calculation:
Crystal system: monoclinic
Relative energy among the computed polymorphs in meV per atom: 466
Symmetry: P2/m, No. 10
Total energy in eV/cell: -25.7

Lattice parameters (Å, degrees): 2.883 4.875 4.870 90.00 90.12 90.00
Fractional positions:
Sr1 0.000 0.000 0.000
Fe1 0.500 0.000 0.500
Fe2 0.500 0.500 0.000
Mo1 0.000 0.500 0.500



Entry 7:
Here is a relaxed BeCr2Te crystal from Alexandria via LeMat-Bulk. Energies are from PBE.

Values from the calculation:
Crystal system: tetragonal
Relative energy among the computed polymorphs in meV per atom: 162
Symmetry: I4/mmm, No. 139
Total energy in eV/cell: -24.2

Lattice parameters (Å, degrees): 4.585 4.585 4.585 129.24 129.24 74.63
Fractional positions:
Be1 0.000 0.000 0.000
Cr1 0.250 0.750 0.500
Cr2 0.750 0.250 0.500
Te1 0.500 0.500 0.000



Entry 8:
Here is a relaxed NiB2Pt4 crystal from Alexandria via LeMat-Bulk. Energies are from PBE.

Values from the calculation:
Crystal system: monoclinic
Symmetry: Cc, No. 9
Total energy in eV/cell: -87.8

Lattice parameters (Å, degrees): 5.566 5.566 7.303 105.16 105.16 107.23
Fractional positions:
Ni1 0.127 0.873 0.500
Ni2 0.873 0.127 0.000
B1 0.025 0.554 0.858
B2 0.419 0.451 0.639
B3 0.451 0.419 0.139
B4 0.554 0.025 0.358
Pt1 0.194 0.643 0.176
Pt2 0.218 0.265 0.822
Pt3 0.265 0.218 0.322
Pt4 0.370 0.784 0.803
Pt5 0.643 0.194 0.676
Pt6 0.734 0.820 0.201
Pt7 0.784 0.370 0.303
Pt8 0.820 0.734 0.701



Entry 9:
Here is a relaxed MgZn2Mo crystal from Alexandria via LeMat-Bulk. Energies are from PBE.

Values from the calculation:
Crystal system: tetragonal
Symmetry: I-4m2, No. 119
Total energy in eV/cell: -14.1

Lattice parameters (Å, degrees): 5.056 5.056 5.056 135.24 135.24 65.16
Fractional positions:
Mg1 0.000 0.000 0.000
Zn1 0.500 0.500 0.000
Zn2 0.750 0.250 0.500
Mo1 0.250 0.750 0.500



Entry 10:
Here is a relaxed Cs2Sr3NdF12 crystal from Alexandria via LeMat-Bulk. Energies are from PBE.

Values from the calculation:
Crystal system: trigonal
Symmetry: R-3m, No. 166
Total energy in eV/cell: -94.8

Lattice parameters (Å, degrees): 8.867 8.867 8.867 58.05 58.05 58.05
Fractional positions:
Cs1 0.095 0.095 0.095
Cs2 0.905 0.905 0.905
Sr1 0.000 0.500 0.500
Sr2 0.500 0.000 0.500
Sr3 0.500 0.500 0.000
Nd1 0.500 0.500 0.500
F1 0.160 0.160 0.597
F2 0.160 0.597 0.160
F3 0.191 0.562 0.562
F4 0.403 0.840 0.840
F5 0.438 0.438 0.809
F6 0.438 0.809 0.438
F7 0.562 0.191 0.562
F8 0.562 0.562 0.191
F9 0.597 0.160 0.160
F10 0.809 0.438 0.438
F11 0.840 0.403 0.840
F12 0.840 0.840 0.403



| no. | total moment (μB per cell) | density (g/cm³) | DOS(E_F) (states/eV/cell) |
| --- | --- | --- | --- |
| 1 | 0.0 | 3.602 | 4.04 |
| 2 | 2.6 | 6.413 | 2.52 |
| 3 | 1.9 | 4.916 | 6.69 |
| 4 | 2.0 | 4.370 | 1.16 |
| 5 | 0.0 | 11.500 | 14.00 |
| 6 | 3.5 | 7.164 | 4.84 |
| 7 | 4.5 | 7.089 | 3.02 |
| 8 | 0.0 | 14.736 | 8.31 |
| 9 | 0.0 | 6.600 | 2.39 |
| 10 | 1.4 | 3.177 | 28.89 |